Entry 1:
The following is a DFT calculation (PBE-GGA) of an optimized crystal structure of Hf8Al2Pt. Values from VASP.

Energy relative to the elements   -0.24 eV/atom

```
&SYSTEM
  ibrav = 0, nat = 11, ntyp = 3
/
ATOMIC_SPECIES
Hf 178.49 Hf.upf
Pt 195.08 Pt.upf
Al 26.98 Al.upf
CELL_PARAMETERS angstrom
-0.648 -3.459 -2.840
1.432 -3.807 4.309
-8.583 2.826 2.117
ATOMIC_POSITIONS angstrom
Hf -1.294 -3.386 0.819
Pt -0.324 -1.729 -1.420
Hf -4.212 -3.697 1.863
Hf -4.783 -3.006 4.752
Hf -3.016 -1.434 -1.165
Hf -6.506 -1.053 2.767
Al -5.639 -1.949 0.061
Hf 0.632 -2.839 3.313
Al -2.160 -2.490 3.526
Hf -8.431 -1.601 0.274
Hf -3.588 -0.742 1.723
```

---

Entry 2:
The following is a DFT calculation (PBE-GGA) of an optimized crystal structure of K2NpUO6. Values from VASP.

Formation energy from raw total energies   -64.44 kcal/mol of atoms

```
&SYSTEM
  ibrav = 0, nat = 10, ntyp = 4
/
ATOMIC_SPECIES
O 16.00 O.upf
K 39.10 K.upf
U 238.03 U.upf
Np 237.00 Np.upf
CELL_PARAMETERS angstrom
6.104 -0.001 0.000
0.001 6.103 0.000
3.052 3.051 4.316
ATOMIC_POSITIONS angstrom
O 3.052 3.051 2.141
K 3.052 6.104 2.159
O 1.537 1.536 0.000
K 6.105 3.050 2.158
O 7.620 7.618 4.316
U 3.052 3.051 0.000
O 6.105 6.103 2.175
Np 0.000 0.000 0.000
O 4.589 7.618 4.316
O 4.568 1.536 0.001
```

---

Entry 3:
The following is a DFT calculation (PBE-GGA) of an optimized crystal structure of Ac8Si3Te4P. Values from VASP.

Formation energy from raw total energies   -28.27 kcal/mol of atoms

```
&SYSTEM
  ibrav = 0, nat = 16, ntyp = 4
/
ATOMIC_SPECIES
Si 28.09 Si.upf
Ac 227.00 Ac.upf
Te 127.60 Te.upf
P 30.97 P.upf
CELL_PARAMETERS angstrom
9.240 0.000 0.000
0.000 9.422 0.121
-4.620 -4.616 6.536
ATOMIC_POSITIONS angstrom
Si 2.310 2.403 3.328
Si 4.620 4.711 0.060
Si -2.310 2.403 3.328
Ac 2.310 2.261 6.493
Ac 6.930 2.545 0.163
Ac 0.000 0.218 3.417
Te 2.310 -2.308 3.268
Ac 2.310 2.545 0.163
Ac 4.620 0.235 3.428
Te -2.310 -2.308 3.268
Ac 0.000 4.570 3.228
P 0.000 4.711 0.060
Te 4.620 0.000 0.000
Ac -2.310 2.261 6.493
Te 0.000 0.000 0.000
Ac 4.620 4.587 3.240
```

---

Entry 4:
The following is a DFT calculation (PBE-GGA) of an optimized crystal structure of Zr2BiAu2. Values from VASP.

Energy relative to the elements   -0.16 eV/atom
Distance to the lowest polymorph of the same formula   0.86 eV/f.u.

```
&SYSTEM
  ibrav = 0, nat = 5, ntyp = 3
/
ATOMIC_SPECIES
Au 196.97 Au.upf
Bi 208.98 Bi.upf
Zr 91.22 Zr.upf
CELL_PARAMETERS angstrom
4.550 0.000 0.000
0.000 4.550 0.000
2.275 2.275 5.935
ATOMIC_POSITIONS angstrom
Au 2.275 2.275 1.317
Bi 0.000 0.000 0.000
Zr 2.275 4.550 2.968
Zr 4.550 2.275 2.968
Au 4.550 4.550 4.618
```

---

no.,electronic total energy (eV per atom),volume (Å³ per cell)
1,-8.705,232.8
2,-8.412,160.8
3,-5.421,574.1
4,-5.669,122.9